Material: CrTc2S2
Method: DFT, GGA-PBE
State: relaxed

Cell: 4.1080 4.1080 5.3502 Å, 67.42 67.42 90.00°
Closest atoms and distances in Å follow each position.
Fractional coordinates of all 5 atoms:
Tc 0.2500 0.7500 0.5000  4 S 2.31
S 0.6324 0.6324 0.7353  4 Tc 2.31, 1 S 2.38
S 0.3676 0.3676 0.2647  4 Tc 2.31, 1 S 2.38
Cr 0.0000 0.0000 0.0000  8 Tc 3.04, 10 S 3.14-3.30
Tc 0.7500 0.2500 0.5000  4 S 2.31

## Properties
As for the energy above the most stable polymorph in this dataset: 181.7 meV per atom. The calculation puts the formation energy from raw total energies at 382 meV per atom. Its space-group type is I4/mmm (139). The spin magnetization comes out at 0.1 μB/f.u.

=====

Material: CrTc3S
Method: DFT, GGA-PBE
State: relaxed

Cell: 4.2894 4.2894 4.2894 Å, 90.00 90.00 90.00°
Closest atoms and distances in Å follow each position.
Fractional coordinates of all 5 atoms:
Tc 0.0000 0.5000 0.0000  2 S 2.14
Cr 0.5000 0.5000 0.5000  12 Tc 3.03
Tc 0.5000 0.0000 0.0000  2 S 2.14
S 0.0000 0.0000 0.0000  6 Tc 2.14
Tc 0.0000 0.0000 0.5000  2 S 2.14

## Properties
As for the energy above the most stable polymorph in this dataset: 0.0 meV per atom. The calculation puts the formation energy from raw total energies at 781 meV per atom. Its space-group type is Pm-3m (221). The spin magnetization comes out at 0.0 μB/f.u.

=====

Material: Cr2TcS
Method: DFT, GGA-PBE
State: relaxed

Cell: 6.5816 6.5816 5.2815 Å, 51.46 51.46 90.00°
Closest atoms and distances in Å follow each position.
Fractional coordinates of all 8 atoms:
Cr 0.3750 0.4313 0.7500  2 S 2.17
Cr 0.5687 0.1250 0.2500  2 S 2.17
S 0.2500 0.7500 0.5000  4 Cr 2.17
Tc 0.0000 0.0000 0.0000  2 S 2.50, 4 Cr 2.68
Cr 0.1813 0.6250 0.2500  2 S 2.17
Tc 0.7500 0.2500 0.5000  2 S 2.50, 4 Cr 2.68
Cr 0.8750 0.8187 0.7500  2 S 2.17
S 0.5000 0.5000 0.0000  4 Cr 2.17

## Properties
The calculation puts the formation energy from raw total energies at 348 meV per atom. Its space-group type is I-42d (122). The spin magnetization comes out at 2.0 μB/f.u.

=====

Material: CrTcS2
Method: DFT, GGA-PBE
State: relaxed

Cell: 7.7965 7.7965 7.7965 Å, 21.68 21.68 21.68°
Closest atoms and distances in Å follow each position.
Fractional coordinates of all 4 atoms:
Cr 0.5000 0.5000 0.5000  6 S 2.29
S 0.9006 0.9006 0.9006  1 Tc 2.27, 3 Cr 2.29
S 0.0994 0.0994 0.0994  1 Tc 2.27, 3 Cr 2.29
Tc 0.0000 0.0000 0.0000  2 S 2.27

## Properties
As for the energy above the most stable polymorph in this dataset: 48.4 meV per atom. The calculation puts the formation energy from raw total energies at -161 meV per atom. Its space-group type is R-3m (166). The spin magnetization comes out at 0.0 μB/f.u.

=====

Material: CrTcS2
Method: DFT, GGA-PBE
State: relaxed

Cell: 4.1270 4.1270 4.1270 Å, 60.00 60.00 60.00°
Closest atoms and distances in Å follow each position.
Fractional coordinates of all 4 atoms:
S 0.7500 0.7500 0.7500  4 Tc 2.53, 4 Cr 2.53
Tc 0.5000 0.5000 0.5000  8 S 2.53
Cr 0.0000 0.0000 0.0000  8 S 2.53
S 0.2500 0.2500 0.2500  4 Tc 2.53, 4 Cr 2.53

## Properties
As for the energy above the most stable polymorph in this dataset: 175.2 meV per atom. The calculation puts the formation energy from raw total energies at -34 meV per atom. Its space-group type is Fm-3m (225). The spin magnetization comes out at 0.0 μB/f.u.

=====

Material: Cr3TeS
Method: DFT, GGA-PBE
State: relaxed

Cell: 4.2759 4.2759 4.2759 Å, 90.00 90.00 90.00°
Closest atoms and distances in Å follow each position.
Fractional coordinates of all 5 atoms:
S 0.0000 0.0000 0.0000  6 Cr 2.14
Cr 0.0000 0.0000 0.5000  2 S 2.14
Te 0.5000 0.5000 0.5000  12 Cr 3.02
Cr 0.5000 0.0000 0.0000  2 S 2.14
Cr 0.0000 0.5000 0.0000  2 S 2.14

## Properties
As for the energy above the most stable polymorph in this dataset: 0.0 meV per atom. The calculation puts the formation energy from raw total energies at 389 meV per atom. Its space-group type is Pm-3m (221). The spin magnetization comes out at 3.7 μB/f.u.

=====

Material: CrTeS2
Method: DFT, GGA-PBE
State: relaxed

Cell: 3.0493 5.4769 11.5976 Å, 80.92 82.51 90.01°
Closest atoms and distances in Å follow each position.
Fractional coordinates of all 8 atoms:
Cr 0.0377 0.1414 0.7192  6 S 2.27-2.37
S 0.4803 0.3288 0.8349  3 Cr 2.36-2.37
S 0.9635 0.8174 0.8690  3 Cr 2.27
S 0.0877 0.5531 0.6182  3 Cr 2.36-2.37
Te 0.2527 0.4758 0.2791  4 Te 2.93-3.05
S 0.6047 0.0636 0.5839  3 Cr 2.27
Te 0.3000 0.0094 0.1849  4 Te 2.93-3.05
Cr 0.5304 0.7402 0.7336  6 S 2.27-2.37

## Properties
The calculation puts the formation energy from raw total energies at -401 meV per atom. Its space-group type is P1 (1). The spin magnetization comes out at 0.0 μB/f.u.

=====

Material: CrTe2S
Method: DFT, GGA-PBE
State: relaxed

Cell: 8.2911 8.2911 8.2911 Å, 27.89 27.89 27.89°
Closest atoms and distances in Å follow each position.
Fractional coordinates of all 4 atoms:
Cr 0.5000 0.5000 0.5000  6 Te 2.72
Te 0.8938 0.8938 0.8938  1 S 2.54, 3 Cr 2.72
Te 0.1062 0.1062 0.1062  1 S 2.54, 3 Cr 2.72
S 0.0000 0.0000 0.0000  2 Te 2.54

## Properties
The calculation puts the formation energy from raw total energies at 104 meV per atom. Its space-group type is R-3m (166). The spin magnetization comes out at 2.8 μB/f.u.

=====

Material: Cr3TeS
Method: DFT, GGA-PBE
State: relaxed

Cell: 4.7138 4.7138 4.7138 Å, 90.00 90.00 90.00°
Closest atoms and distances in Å follow each position.
Fractional coordinates of all 5 atoms:
Cr 0.5000 0.0000 0.0000  2 Te 2.36
S 0.5000 0.5000 0.5000  12 Cr 3.33
Cr 0.0000 0.5000 0.0000  2 Te 2.36
Te 0.0000 0.0000 0.0000  6 Cr 2.36
Cr 0.0000 0.0000 0.5000  2 Te 2.36

## Properties
As for the energy above the most stable polymorph in this dataset: 1578.6 meV per atom. The calculation puts the formation energy from raw total energies at 1967 meV per atom. Its space-group type is Pm-3m (221). The spin magnetization comes out at 0.0 μB/f.u.

=====

Material: CrTe2S
Method: DFT, GGA-PBE
State: relaxed

Cell: 9.3276 9.3276 9.3276 Å, 21.24 21.24 21.24°
Closest atoms and distances in Å follow each position.
Fractional coordinates of all 4 atoms:
S 0.5000 0.5000 0.5000  6 Te 2.87
Te 0.0910 0.0910 0.0910  1 Cr 2.49
Te 0.9090 0.9090 0.9090  1 Cr 2.49
Cr 0.0000 0.0000 0.0000  2 Te 2.49

## Properties
The calculation puts the formation energy from raw total energies at 1028 meV per atom. Its space-group type is R-3m (166). The spin magnetization comes out at 0.0 μB/f.u.

=====

Material: CrTeS
Method: DFT, GGA-PBE
State: relaxed

Cell: 3.4755 3.4755 13.7034 Å, 90.18 97.10 120.01°
Closest atoms and distances in Å follow each position.
Fractional coordinates of all 6 atoms:
Cr 0.8685 0.9276 0.7961  3 S 2.31
Te 0.4419 0.2125 0.6544  3 Cr 2.78
S 0.2573 0.6231 0.8805  3 Cr 2.31
Te 0.5581 0.7875 0.3456  3 Cr 2.78
Cr 0.1315 0.0724 0.2039  3 S 2.31
S 0.7427 0.3769 0.1195  3 Cr 2.31

## Properties
As for the energy above the most stable polymorph in this dataset: 3.4 meV per atom. The calculation puts the formation energy from raw total energies at -407 meV per atom. Its space-group type is C2/m (12). The spin magnetization comes out at 2.4 μB/f.u.

=====

Material: CrTeS
Method: DFT, GGA-PBE
State: relaxed

Cell: 3.4829 3.4829 6.6178 Å, 90.00 90.00 120.00°
Closest atoms and distances in Å follow each position.
Fractional coordinates of all 3 atoms:
Cr 0.6667 0.3333 0.3721  3 S 2.31
S 0.3333 0.6667 0.5448  3 Cr 2.31
Te 0.0000 0.0000 0.0831  3 Cr 2.78

## Properties
As for the energy above the most stable polymorph in this dataset: 0.0 meV per atom. The calculation puts the formation energy from raw total energies at -410 meV per atom. Its space-group type is P3m1 (156). The spin magnetization comes out at 2.4 μB/f.u.